(1)
ZnCuTc2Pb | PBE | optimized geometry

Unit cell a=5.1648 b=4.9540 c=5.1648 alpha=90.00 beta=90.00 gamma=90.00
Last column: nearest neighbours and their distance in Å.
Sites, in units of the cell vectors:
Pb: 0.0000 0.0000 0.0000  2 Zn 2.48, 4 Tc 2.58
Zn: 0.0000 0.5000 0.0000  2 Pb 2.48
Tc: 0.0000 0.0000 0.5000  2 Pb 2.58
Tc: 0.5000 0.0000 0.0000  2 Pb 2.58
Cu: 0.5000 0.5000 0.5000  8 Tc 3.58, 4 Zn 3.65

## Properties
Magnetization: 4.92 μB/cell
DFT total energy: -3.82 eV per atom
N(E_F): 0.96 states/eV/atom

=====

(2)
CuTePb | PBE | optimized geometry

Unit cell a=6.5648 b=6.5648 c=6.5648 alpha=146.68 beta=150.39 gamma=45.17
Last column: nearest neighbours and their distance in Å.
Sites, in units of the cell vectors:
Cu: 0.0178 0.0178 0.0000  4 Te 2.80
Pb: 0.3629 0.3629 0.0000  1 Te 3.11, 4 Cu 3.14, 2 Pb 3.36
Te: 0.6192 0.6192 0.0000  4 Cu 2.80, 1 Pb 3.11

## Properties
Magnetization: 0.00 μB/cell
Distance to the lowest polymorph of the same formula: 0.217 eV/atom
DFT total energy: -3.51 eV per atom
N(E_F): 0.38 states/eV/atom
Raw formation energy: 0.418 eV/f.u.

=====

(3)
CuTePb | PBE | optimized geometry

Unit cell a=4.8329 b=4.8329 c=4.8329 alpha=60.00 beta=60.00 gamma=60.00
Last column: nearest neighbours and their distance in Å.
Sites, in units of the cell vectors:
Cu: 0.7500 0.7500 0.7500  4 Te 2.96, 4 Pb 2.96
Pb: 0.0000 0.0000 0.0000  4 Cu 2.96
Te: 0.5000 0.5000 0.5000  4 Cu 2.96

## Properties
Magnetization: 0.00 μB/cell
Distance to the lowest polymorph of the same formula: 0.133 eV/atom
DFT total energy: -3.59 eV per atom
N(E_F): 0.36 states/eV/atom
Raw formation energy: 0.165 eV/f.u.

=====

(4)
CuTePb2 | PBE | optimized geometry

Unit cell a=3.9282 b=3.9388 c=7.6637 alpha=65.56 beta=90.00 gamma=90.00
Last column: nearest neighbours and their distance in Å.
Sites, in units of the cell vectors:
Cu: 0.5000 0.7500 0.7500  4 Pb 2.93
Pb: 0.0000 0.9446 0.9766  2 Cu 2.93
Pb: 0.0000 0.5554 0.5234  2 Cu 2.93
Te: 0.5000 0.2500 0.2500  8 Pb 3.31-3.43, 2 Cu 3.51

## Properties
Magnetization: 0.00 μB/cell
DFT total energy: -3.51 eV per atom
N(E_F): 0.37 states/eV/atom
Raw formation energy: 0.608 eV/f.u.

=====

(5)
CuTePb2 | PBE | optimized geometry

Unit cell a=3.8034 b=3.8034 c=8.0631 alpha=90.00 beta=90.00 gamma=90.00
Last column: nearest neighbours and their distance in Å.
Sites, in units of the cell vectors:
Cu: 0.5000 0.5000 0.6154  4 Te 2.69, 1 Pb 2.83
Pb: 0.0000 0.0000 0.0044  1 Te 3.14, 4 Pb 3.41
Pb: 0.5000 0.5000 0.2646  1 Cu 2.83
Te: 0.0000 0.0000 0.6156  4 Cu 2.69

## Properties
Magnetization: 0.00 μB/cell
DFT total energy: -3.55 eV per atom
N(E_F): 0.47 states/eV/atom
Raw formation energy: 0.443 eV/f.u.

=====

(6)
Cu2TePb | PBE | optimized geometry

Unit cell a=5.2086 b=5.2086 c=5.2086 alpha=135.27 beta=115.07 gamma=82.29
Last column: nearest neighbours and their distance in Å.
Sites, in units of the cell vectors:
Cu: 0.9867 0.9867 0.0000  2 Te 2.72, 2 Pb 2.86
Cu: 0.5133 0.5133 0.0000  2 Te 2.72, 2 Pb 2.86
Pb: 0.2500 0.7500 0.5000  4 Cu 2.86
Te: 0.7500 0.2500 0.5000  4 Cu 2.72

## Properties
Magnetization: 0.00 μB/cell
Distance to the lowest polymorph of the same formula: 0.254 eV/atom
DFT total energy: -3.47 eV per atom
N(E_F): 0.43 states/eV/atom
Raw formation energy: 1.152 eV/f.u.

=====

(7)
CuTePb2 | PBE | optimized geometry

Unit cell a=4.0786 b=4.3424 c=6.5822 alpha=70.57 beta=90.00 gamma=90.00
Last column: nearest neighbours and their distance in Å.
Sites, in units of the cell vectors:
Pb: 0.0000 0.9720 0.9300  4 Cu 3.09, 2 Te 3.35
Pb: 0.5000 0.3111 0.2529  1 Cu 2.82
Te: 0.0000 0.6784 0.5192  2 Cu 2.67
Cu: 0.5000 0.5385 0.7979  2 Te 2.67, 1 Pb 2.82

## Properties
Magnetization: 0.00 μB/cell
DFT total energy: -3.63 eV per atom
N(E_F): 0.35 states/eV/atom
Raw formation energy: 0.132 eV/f.u.

=====

(8)
Cu5Te12Pb3 | PBE | optimized geometry

Unit cell a=14.6019 b=14.6019 c=14.6019 alpha=109.47 beta=109.47 gamma=109.47
Last column: nearest neighbours and their distance in Å.
Sites, in units of the cell vectors:
Pb: 0.7500 0.3750 0.1250  8 Te 3.32-3.37
Pb: 0.8750 0.7500 0.1250  8 Te 3.32-3.37
Pb: 0.3750 0.7500 0.6250  8 Te 3.32-3.37
Pb: 0.2500 0.1250 0.3750  8 Te 3.32-3.37
Pb: 0.8750 0.1250 0.2500  8 Te 3.32-3.37
Pb: 0.3750 0.6250 0.2500  8 Te 3.32-3.37
Pb: 0.6250 0.3750 0.7500  8 Te 3.32-3.37
Pb: 0.1250 0.8750 0.7500  8 Te 3.32-3.37
Pb: 0.7500 0.8750 0.6250  8 Te 3.32-3.37
Pb: 0.6250 0.2500 0.3750  8 Te 3.32-3.37
Pb: 0.1250 0.2500 0.8750  8 Te 3.32-3.37
Pb: 0.2500 0.6250 0.8750  8 Te 3.32-3.37
Cu: 0.1250 0.3750 0.2500  4 Te 2.53
Cu: 0.0000 0.5000 0.0000  6 Te 2.68
Cu: 0.0000 0.0000 0.0000  6 Te 2.68
Cu: 0.3750 0.2500 0.1250  4 Te 2.53
Cu: 0.5000 0.0000 0.5000  6 Te 2.68
Cu: 0.5000 0.5000 0.0000  6 Te 2.68
Cu: 0.1250 0.7500 0.3750  4 Te 2.53
Cu: 0.7500 0.1250 0.8750  4 Te 2.53
Cu: 0.7500 0.6250 0.3750  4 Te 2.53
Cu: 0.3750 0.1250 0.7500  4 Te 2.53
Cu: 0.6250 0.8750 0.2500  4 Te 2.53
Cu: 0.5000 0.5000 0.5000  6 Te 2.68
Cu: 0.5000 0.0000 0.0000  6 Te 2.68
Cu: 0.0000 0.0000 0.5000  6 Te 2.68
Cu: 0.2500 0.3750 0.6250  4 Te 2.53
Cu: 0.2500 0.8750 0.1250  4 Te 2.53
Cu: 0.0000 0.5000 0.5000  6 Te 2.68
Cu: 0.8750 0.2500 0.6250  4 Te 2.53
Cu: 0.6250 0.7500 0.8750  4 Te 2.53
Cu: 0.8750 0.6250 0.7500  4 Te 2.53
Te: 0.7012 0.1093 0.0221  2 Cu 2.53-2.68
Te: 0.3208 0.5221 0.4128  2 Cu 2.53-2.68
Te: 0.9779 0.3907 0.2988  2 Cu 2.53-2.68
Te: 0.5221 0.2012 0.1093  2 Cu 2.53-2.68
Te: 0.5919 0.7012 0.6792  2 Cu 2.53-2.68
Te: 0.9779 0.5872 0.1792  2 Cu 2.53-2.68
Te: 0.3208 0.7988 0.4081  2 Cu 2.53-2.68
Te: 0.0872 0.9081 0.1093  2 Cu 2.53-2.68
Te: 0.5872 0.9779 0.6792  2 Cu 2.53-2.68
Te: 0.7012 0.5919 0.1792  2 Cu 2.53-2.68
Te: 0.7988 0.4779 0.3907  2 Cu 2.53-2.68
Te: 0.8208 0.9128 0.0221  2 Cu 2.53-2.68
Te: 0.1093 0.7012 0.5221  2 Cu 2.53-2.68
Te: 0.3907 0.4128 0.0919  2 Cu 2.53-2.68
Te: 0.0919 0.9128 0.3907  2 Cu 2.53-2.68
Te: 0.4081 0.1093 0.5872  2 Cu 2.53-2.68
Te: 0.0919 0.1792 0.2012  2 Cu 2.53-2.68
Te: 0.4779 0.6792 0.0872  2 Cu 2.53-2.68
Te: 0.8208 0.9081 0.2988  2 Cu 2.53-2.68
Te: 0.1093 0.4081 0.0872  2 Cu 2.53-2.68
Te: 0.3907 0.9779 0.7988  2 Cu 2.53-2.68
Te: 0.5872 0.6093 0.4081  2 Cu 2.53-2.68
Te: 0.9128 0.8208 0.5221  2 Cu 2.53-2.68
Te: 0.7988 0.3208 0.9081  2 Cu 2.53-2.68
Te: 0.4128 0.3907 0.5919  2 Cu 2.53-2.68
Te: 0.0872 0.1792 0.4779  2 Cu 2.53-2.68
Te: 0.2012 0.6792 0.0919  2 Cu 2.53-2.68
Te: 0.1792 0.0919 0.7012  2 Cu 2.53-2.68
Te: 0.6093 0.0221 0.2012  2 Cu 2.53-2.68
Te: 0.8907 0.5919 0.9128  2 Cu 2.53-2.68
Te: 0.5221 0.3208 0.9128  2 Cu 2.53-2.68
Te: 0.5919 0.8907 0.4128  2 Cu 2.53-2.68
Te: 0.9081 0.8208 0.7988  2 Cu 2.53-2.68
Te: 0.9081 0.0872 0.6093  2 Cu 2.53-2.68
Te: 0.8907 0.2988 0.4779  2 Cu 2.53-2.68
Te: 0.1792 0.0872 0.9779  2 Cu 2.53-2.68
Te: 0.6093 0.5872 0.9081  2 Cu 2.53-2.68
Te: 0.4128 0.0221 0.3208  2 Cu 2.53-2.68
Te: 0.2988 0.4081 0.8208  2 Cu 2.53-2.68
Te: 0.2012 0.5221 0.6093  2 Cu 2.53-2.68
Te: 0.9128 0.0919 0.8907  2 Cu 2.53-2.68
Te: 0.6792 0.2012 0.5919  2 Cu 2.53-2.68
Te: 0.4779 0.7988 0.8907  2 Cu 2.53-2.68
Te: 0.0221 0.4128 0.8208  2 Cu 2.53-2.68
Te: 0.4081 0.2988 0.3208  2 Cu 2.53-2.68
Te: 0.0221 0.6093 0.7012  2 Cu 2.53-2.68
Te: 0.6792 0.4779 0.5872  2 Cu 2.53-2.68
Te: 0.2988 0.8907 0.9779  2 Cu 2.53-2.68

## Properties
Magnetization: 0.00 μB/cell
DFT total energy: -3.40 eV per atom
N(E_F): 1.06 states/eV/atom
Raw formation energy: 1.207 eV/f.u.